# Mn2CoAg | the Alexandria database | PBE | optimized geometry
# raw total energy	-25.00	eV/f.u.
# distance to the lowest polymorph of the same formula	658.0	meV/atom
# DFT formation energy	0.824	eV/atom
data_Mn2CoAg
_chemical_formula_sum 'Mn2 Co1 Ag1'
_space_group_name_H-M_alt 'P 1'
_space_group_IT_number 1
_cell_length_a 4.174
_cell_length_b 4.174
_cell_length_c 4.174
_cell_angle_alpha 60.00
_cell_angle_beta 60.00
_cell_angle_gamma 60.00
loop_
_space_group_symop_operation_xyz
'x,y,z'
loop_
_atom_site_label
_atom_site_type_symbol
_atom_site_fract_x
_atom_site_fract_y
_atom_site_fract_z
Mn1 Mn 0.250 0.250 0.250
Mn2 Mn 0.750 0.750 0.750
Co1 Co 0.000 0.000 0.000
Ag1 Ag 0.500 0.500 0.500

***

# CrInRePd2 | the Alexandria database | PBE | optimized geometry
# raw total energy	-24.46	eV/f.u.
# DFT formation energy	2.148	eV/atom
data_CrInRePd2
_chemical_formula_sum 'Cr1 In1 Re1 Pd2'
_space_group_name_H-M_alt 'P 1'
_space_group_IT_number 1
_cell_length_a 4.688
_cell_length_b 4.688
_cell_length_c 4.733
_cell_angle_alpha 90.00
_cell_angle_beta 90.00
_cell_angle_gamma 90.00
loop_
_space_group_symop_operation_xyz
'x,y,z'
loop_
_atom_site_label
_atom_site_type_symbol
_atom_site_fract_x
_atom_site_fract_y
_atom_site_fract_z
Pd1 Pd 0.000 0.500 0.000
Pd2 Pd 0.500 0.000 0.000
Cr1 Cr 0.000 0.000 0.500
Re1 Re 0.500 0.500 0.500
In1 In 0.000 0.000 0.000

***

# MnCuSn | the Alexandria database | PBE | optimized geometry
# raw total energy	-16.90	eV/f.u.
# DFT formation energy	0.123	eV/atom
data_MnCuSn
_chemical_formula_sum 'Mn2 Cu2 Sn2'
_space_group_name_H-M_alt 'P 1'
_space_group_IT_number 1
_cell_length_a 3.137
_cell_length_b 3.137
_cell_length_c 10.791
_cell_angle_alpha 98.36
_cell_angle_beta 98.36
_cell_angle_gamma 90.00
loop_
_space_group_symop_operation_xyz
'x,y,z'
loop_
_atom_site_label
_atom_site_type_symbol
_atom_site_fract_x
_atom_site_fract_y
_atom_site_fract_z
Mn1 Mn 0.845 0.845 0.691
Mn2 Mn 0.155 0.155 0.309
Sn1 Sn 0.571 0.571 0.141
Sn2 Sn 0.429 0.429 0.859
Cu1 Cu 0.720 0.720 0.440
Cu2 Cu 0.280 0.280 0.560

***

# Be2Pb | the Alexandria database | PBE | optimized geometry
# raw total energy	-9.05	eV/f.u.
# distance to the lowest polymorph of the same formula	501.5	meV/atom
# DFT formation energy	0.703	eV/atom
data_Be2Pb
_chemical_formula_sum 'Be4 Pb2'
_space_group_name_H-M_alt 'P 1'
_space_group_IT_number 1
_cell_length_a 5.166
_cell_length_b 5.166
_cell_length_c 5.166
_cell_angle_alpha 60.00
_cell_angle_beta 60.00
_cell_angle_gamma 60.00
loop_
_space_group_symop_operation_xyz
'x,y,z'
loop_
_atom_site_label
_atom_site_type_symbol
_atom_site_fract_x
_atom_site_fract_y
_atom_site_fract_z
Be1 Be 0.125 0.625 0.125
Be2 Be 0.125 0.125 0.125
Be3 Be 0.625 0.125 0.125
Be4 Be 0.125 0.125 0.625
Pb1 Pb 0.500 0.500 0.500
Pb2 Pb 0.750 0.750 0.750

***

Question: Which of these has the lowest raw total energy?
Answer: Mn2CoAg